[1]
A relaxed ZrTi2Te4 crystal, computed with PBE-GGA.

Values from the calculation:
Formation energy (no corrections), kJ/mol of atoms: -74.1
E above lowest polymorph, eV/f.u.: 0.00
DFT total energy, eV/atom: -6.0401

Cell: 7.649 7.649 7.173 Å, 117.95 117.95 29.17°
Fractional coordinates of all 7 atoms:
1 Zr 0.000 0.000 0.000
2 Ti 0.246 0.246 0.298
3 Ti 0.754 0.754 0.702
4 Te 0.112 0.112 0.461
5 Te 0.359 0.359 0.039
6 Te 0.641 0.641 0.961
7 Te 0.888 0.888 0.539

=====

[2]
A relaxed Sr4P2I5 crystal, computed with PBE-GGA.

Values from the calculation:
Formation energy (no corrections), kJ/mol of atoms: -133.8
DFT total energy, eV/atom: -3.6864

Cell: 11.502 11.502 11.502 Å, 156.81 134.82 51.38°
Fractional coordinates of all 11 atoms:
1 Sr 0.195 0.195 0.000
2 Sr 0.214 0.500 0.714
3 Sr 0.786 0.500 0.286
4 Sr 0.805 0.805 0.000
5 P 0.051 0.051 0.000
6 P 0.949 0.949 0.000
7 I 0.099 0.332 0.767
8 I 0.435 0.668 0.767
9 I 0.500 0.000 0.500
10 I 0.565 0.332 0.233
11 I 0.901 0.668 0.233